## LiCoH2O (GGA+U)

Data for crystalline LiCoH2O at its relaxed geometry.

a = 3.621 Å, b = 3.473 Å, c = 3.621 Å
α = 90.00°, β = 90.00°, γ = 90.00°
Fractional positions:
Co1 0.000 0.500 0.000
O1 0.000 0.000 0.000
H1 0.500 0.000 0.000
H2 0.000 0.000 0.500
Li1 0.500 0.500 0.500

VASP energy   -3.088 eV/atom